Record 1
A relaxed structure of Gd2ScZn, computed with PBE-GGA.

The space group is P4/mmm (No. 123) and the conventional cell measures 3.5684, 3.5684 and 8.1829 Å, with angles of 90.00, 90.00 and 90.00 degrees. The inequivalent atoms are Gd at (0.0000, 0.0000, 0.2219), Sc at (0.5000, 0.5000, 0.5000) and Zn at (0.5000, 0.5000, 0.0000).

As for the density of states at the Fermi level: 6.0 states/eV/cell. The calculation puts the magnetization at 14.99 μB per formula unit. The value obtained for the calculated volume is 26.05 Å³/atom. As for the polymorph energy (0 for the lowest one): 0 meV per atom. As for the formation energy: -0.131 eV/atom.


Record 2
A relaxed structure of GdScZn, computed with PBE-GGA.

The space group is P3m1 (No. 156) and the conventional cell measures 4.8270, 4.8270 and 3.6506 Å, with angles of 90.00, 90.00 and 120.00 degrees. The inequivalent atoms are Gd at (0.0000, 0.0000, 0.0000), Sc at (0.3333, 0.6667, 0.4992) and Zn at (0.6667, 0.3333, 0.5029).

As for the density of states at the Fermi level: 4.2 states/eV/cell. The calculation puts the magnetization at 7.84 μB per formula unit. The value obtained for the calculated volume is 24.55 Å³/atom. As for the polymorph energy (0 for the lowest one): 123 meV per atom. As for the formation energy: -0.081 eV/atom.


Record 3
A relaxed structure of GdSc2Zn, computed with PBE-GGA.

The space group is P4/mmm (No. 123) and the conventional cell measures 3.3600, 3.3600 and 8.3739 Å, with angles of 90.00, 90.00 and 90.00 degrees. The inequivalent atoms are Gd at (0.0000, 0.0000, 0.0000), Sc at (0.5000, 0.5000, 0.3009) and Zn at (0.0000, 0.0000, 0.5000).

As for the density of states at the Fermi level: 5.5 states/eV/cell. The calculation puts the magnetization at 7.33 μB per formula unit. The value obtained for the calculated volume is 23.63 Å³/atom. As for the polymorph energy (0 for the lowest one): 0 meV per atom. As for the formation energy: -0.142 eV/atom.


Record 4
A relaxed structure of Gd2ScZn, computed with PBE-GGA.

The space group is R-3m (No. 166, hexagonal axes) and the conventional cell measures 3.3724, 3.3724 and 34.6912 Å, with angles of 90.00, 90.00 and 120.00 degrees. The inequivalent atoms are Gd at (0.0000, 0.0000, 0.0887), Sc at (0.0000, 0.0000, 0.5000) and Zn at (0.0000, 0.0000, 0.0000).

As for the density of states at the Fermi level: 15.7 states/eV/cell. The calculation puts the magnetization at 14.47 μB per formula unit. The value obtained for the calculated volume is 28.47 Å³/atom. As for the polymorph energy (0 for the lowest one): 392 meV per atom. As for the formation energy: 0.261 eV/atom.


Record 5
A relaxed structure of GdScZn, computed with PBE-GGA.

The space group is I4mm (No. 107) and the conventional cell measures 3.4529, 3.4529 and 11.9257 Å, with angles of 90.00, 90.00 and 90.00 degrees. The inequivalent atoms are Gd at (0.0000, 0.0000, 0.0000), Sc at (0.0000, 0.0000, 0.2954) and Zn at (0.0000, 0.0000, 0.6674).

As for the density of states at the Fermi level: 6.6 states/eV/cell. The calculation puts the magnetization at 8.02 μB per formula unit. The value obtained for the calculated volume is 23.70 Å³/atom. As for the polymorph energy (0 for the lowest one): 0 meV per atom. As for the formation energy: -0.204 eV/atom.


Record 6
A relaxed structure of GdZrSc, computed with PBE-GGA.

The space group is I4mm (No. 107) and the conventional cell measures 3.8638, 3.8638 and 10.5919 Å, with angles of 90.00, 90.00 and 90.00 degrees. The inequivalent atoms are Gd at (0.0000, 0.0000, 0.0000), Zr at (0.0000, 0.0000, 0.3206) and Sc at (0.0000, 0.0000, 0.6809).

As for the density of states at the Fermi level: 12.7 states/eV/cell. The calculation puts the magnetization at 7.49 μB per formula unit. The value obtained for the calculated volume is 26.35 Å³/atom. As for the polymorph energy (0 for the lowest one): 55 meV per atom. As for the formation energy: 0.157 eV/atom.


Record 7
A relaxed structure of GdZr2Sc, computed with PBE-GGA.

The space group is P4/mmm (No. 123) and the conventional cell measures 3.2533, 3.2533 and 9.4422 Å, with angles of 90.00, 90.00 and 90.00 degrees. The inequivalent atoms are Gd at (0.0000, 0.0000, 0.0000), Zr at (0.5000, 0.5000, 0.2622) and Sc at (0.0000, 0.0000, 0.5000).

As for the density of states at the Fermi level: 5.5 states/eV/cell. The calculation puts the magnetization at 7.08 μB per formula unit. The value obtained for the calculated volume is 24.98 Å³/atom. As for the polymorph energy (0 for the lowest one): 3 meV per atom. As for the formation energy: 0.086 eV/atom.


Record 8
A relaxed structure of GdZrSc, computed with PBE-GGA.

The space group is P3m1 (No. 156) and the conventional cell measures 5.2587, 5.2587 and 3.2680 Å, with angles of 90.00, 90.00 and 120.00 degrees. The inequivalent atoms are Gd at (0.0000, 0.0000, 0.0000), Zr at (0.6667, 0.3333, 0.5006) and Sc at (0.3333, 0.6667, 0.4990).

As for the density of states at the Fermi level: 4.9 states/eV/cell. The calculation puts the magnetization at 6.50 μB per formula unit. The value obtained for the calculated volume is 26.09 Å³/atom. As for the polymorph energy (0 for the lowest one): 0 meV per atom. As for the formation energy: 0.102 eV/atom.


Record 9
A relaxed structure of GdZr2Sc, computed with PBE-GGA.

The space group is P4/mmm (No. 123) and the conventional cell measures 4.6254, 4.6254 and 4.6744 Å, with angles of 90.00, 90.00 and 90.00 degrees. The inequivalent atoms are Gd at (0.0000, 0.0000, 0.0000), Zr at (0.0000, 0.5000, 0.5000) and Sc at (0.5000, 0.5000, 0.0000).

As for the density of states at the Fermi level: 4.7 states/eV/cell. The calculation puts the magnetization at 7.12 μB per formula unit. The value obtained for the calculated volume is 25.00 Å³/atom. As for the polymorph energy (0 for the lowest one): 0 meV per atom. As for the formation energy: 0.082 eV/atom.


Record 10
A relaxed structure of GdZr2Sc, computed with PBE-GGA.

The space group is R-3m (No. 166, hexagonal axes) and the conventional cell measures 3.2739, 3.2739 and 32.3777 Å, with angles of 90.00, 90.00 and 120.00 degrees. The inequivalent atoms are Gd at (0.0000, 0.0000, 0.0000), Zr at (0.0000, 0.0000, 0.2475) and Sc at (0.0000, 0.0000, 0.5000).

As for the density of states at the Fermi level: 18.7 states/eV/cell. The calculation puts the magnetization at 6.97 μB per formula unit. The value obtained for the calculated volume is 25.05 Å³/atom. As for the polymorph energy (0 for the lowest one): 15 meV per atom. As for the formation energy: 0.097 eV/atom.


Record 11
A relaxed structure of Gd3Se4, computed with PBE-GGA.

The space group is I-43d (No. 220) and the conventional cell measures 8.8061, 8.8061 and 8.8061 Å, with angles of 90.00, 90.00 and 90.00 degrees. The inequivalent atoms are Gd at (0.0000, 0.2500, 0.3750) and Se at (0.0723, 0.0723, 0.0723).

As for the density of states at the Fermi level: 36.6 states/eV/cell. The calculation puts the magnetization at 20.27 μB per formula unit. The value obtained for the calculated volume is 24.39 Å³/atom. For the calculated total energy, the calculation gives -9.90 eV per atom.


Record 12
A relaxed structure of Gd2Se3, computed with PBE-GGA.

The space group is Pnma (No. 62) and the conventional cell measures 11.2640, 4.0868 and 11.0571 Å, with angles of 90.00, 90.00 and 90.00 degrees. The inequivalent atoms are Gd at (0.0108, 0.2500, 0.1870), Gd at (0.1925, 0.2500, 0.5032), Se at (0.0460, 0.7500, 0.3739), Se at (0.1200, 0.2500, 0.9438) and Se at (0.2275, 0.7500, 0.6970).

The calculation puts the magnetization at 0.00 μB per formula unit. The value obtained for the calculated volume is 25.45 Å³/atom. For the calculated total energy, the calculation gives -9.62 eV per atom.